The following is a GGA-PBE calculation of a relaxed structure of Re2AgIrO, from Alexandria via LeMat-Bulk.

The uncorrected formation energy comes out at 17.267 eV/f.u. The calculation puts the total DFT energy (no corrections) at -4.8598 eV/atom. The value obtained for the total moment is 7.6 μB/cell.

Lattice parameters (Å, degrees): 4.916 4.916 4.853 90.00 90.00 90.00
Space group P4/mmm (No. 123)
Inequivalent atoms, fractional coordinates:
Re: 0.000 0.500 0.000 x2
Ag: 0.000 0.000 0.000 x1
Ir: 0.000 0.000 0.500 x1
O: 0.500 0.500 0.500 x1

***

The following is a GGA-PBE calculation of a relaxed structure of K3ScN, from Alexandria via LeMat-Bulk.

The calculation puts the energy above the most stable polymorph in this dataset at 0.0 kJ/mol of atoms. The uncorrected formation energy comes out at 4.635 eV/f.u. The calculation puts the total DFT energy (no corrections) at -2.6628 eV/atom. The value obtained for the total moment is 1.0 μB/cell.

Lattice parameters (Å, degrees): 5.726 5.726 5.726 90.00 90.00 90.00
Space group Pm-3m (No. 221)
Inequivalent atoms, fractional coordinates:
K: 0.000 0.000 0.500 x3
Sc: 0.500 0.500 0.500 x1
N: 0.000 0.000 0.000 x1

***

The following is a GGA-PBE calculation of a relaxed structure of SrB6, from Alexandria via LeMat-Bulk.

The calculation puts the total DFT energy (no corrections) at -6.4142 eV/atom. The value obtained for the total moment is 0.0 μB/cell. The value obtained for the formation energy is -0.450 eV per atom.

Lattice parameters (Å, degrees): 4.200 4.200 4.200 90.00 90.00 90.00
Space group Pm-3m (No. 221)
Inequivalent atoms, fractional coordinates:
Sr: 0.000 0.000 0.000 x1
B: 0.203 0.500 0.500 x6

***

The following is a GGA-PBE calculation of a relaxed structure of CeHf2Co, from Alexandria via LeMat-Bulk.

The calculation puts the energy above the most stable polymorph in this dataset at 27.8 kJ/mol of atoms. The calculation puts the total DFT energy (no corrections) at -8.0521 eV/atom. The value obtained for the total moment is 0.0 μB/cell. The value obtained for the formation energy is 0.185 eV per atom.

Lattice parameters (Å, degrees): 3.1070 3.1070 29.5774 90.00 90.00 120.00
Space group R-3m (No. 166, hexagonal axes)
Inequivalent atoms, fractional coordinates:
Ce: 0.0000 0.0000 0.0000 x3
Hf: 0.0000 0.0000 0.1032 x6
Co: 0.0000 0.0000 0.5000 x3

***

The following is a GGA-PBE calculation of a relaxed structure of SrLiGdAl, from Alexandria via LeMat-Bulk.

The calculation puts the total DFT energy (no corrections) at -5.4263 eV/atom. The value obtained for the total moment is 29.6 μB/cell. The value obtained for the formation energy is -0.072 eV per atom.

Lattice parameters (Å, degrees): 7.685 7.685 7.685 90.00 90.00 90.00
Space group F-43m (No. 216)
Inequivalent atoms, fractional coordinates:
Sr: 0.000 0.000 0.000 x4
Li: 0.250 0.250 0.750 x4
Gd: 0.000 0.000 0.500 x4
Al: 0.250 0.250 0.250 x4

***

The following is a GGA-PBE calculation of a relaxed structure of PrYCdAu, from Alexandria via LeMat-Bulk.

The calculation puts the energy above the most stable polymorph in this dataset at 3.4 kJ/mol of atoms. The calculation puts the total DFT energy (no corrections) at -4.3877 eV/atom. The value obtained for the total moment is 0.0 μB/cell. The value obtained for the formation energy is -0.529 eV per atom.

Lattice parameters (Å, degrees): 7.490 7.490 7.490 90.00 90.00 90.00
Space group F-43m (No. 216)
Inequivalent atoms, fractional coordinates:
Pr: 0.000 0.000 0.000 x4
Y: 0.000 0.000 0.500 x4
Cd: 0.250 0.250 0.250 x4
Au: 0.250 0.250 0.750 x4

***

The following is a GGA-PBE calculation of a relaxed structure of K3Tl3Bi2, from Alexandria via LeMat-Bulk.

The calculation puts the energy above the most stable polymorph in this dataset at 3.3 kJ/mol of atoms. The calculation puts the total DFT energy (no corrections) at -2.4914 eV/atom. The value obtained for the total moment is 0.0 μB/cell. The value obtained for the formation energy is -0.222 eV per atom.

Lattice parameters (Å, degrees): 9.889 18.274 7.020 90.00 90.00 90.00
Space group Pnma (No. 62)
Inequivalent atoms, fractional coordinates:
K: 0.024 0.106 0.095 x8
K: 0.153 0.250 0.640 x4
Tl: 0.180 0.054 0.533 x8
Tl: 0.192 0.750 0.661 x4
Bi: 0.129 0.611 0.400 x8

***

The following is a GGA-PBE calculation of a relaxed structure of Ho5MgIn2, from Alexandria via LeMat-Bulk.

The calculation puts the total DFT energy (no corrections) at -3.9145 eV/atom. The value obtained for the total moment is 0.0 μB/cell. The value obtained for the formation energy is -0.169 eV per atom.

Lattice parameters (Å, degrees): 4.675 11.126 17.077 90.00 90.00 90.00
Space group Cmcm (No. 63)
Inequivalent atoms, fractional coordinates:
Ho: 0.000 0.034 0.250 x4
Ho: 0.000 0.154 0.039 x8
Ho: 0.000 0.457 0.098 x8
Mg: 0.000 0.316 0.250 x4
In: 0.000 0.257 0.653 x8

***

The following is a GGA-PBE calculation of a relaxed structure of Ba3Pm3DyS8, from Alexandria via LeMat-Bulk.

The uncorrected formation energy comes out at -30.955 eV/f.u. The calculation puts the total DFT energy (no corrections) at -5.9064 eV/atom. The value obtained for the total moment is 0.0 μB/cell.

Lattice parameters (Å, degrees): 14.332 8.267 8.714 90.00 123.27 90.00
Space group C2/m (No. 12)
Inequivalent atoms, fractional coordinates:
Ba: 0.000 0.000 0.000 x2
Ba: 0.250 0.250 0.000 x4
Pm: 0.000 0.500 0.500 x2
Pm: 0.250 0.250 0.500 x4
Dy: 0.000 0.000 0.500 x2
S: 0.011 0.244 0.290 x8
S: 0.233 0.000 0.710 x4
S: 0.240 0.500 0.719 x4

***

The following is a GGA-PBE calculation of a relaxed structure of Ca2CdCl, from Alexandria via LeMat-Bulk.

The calculation puts the energy above the most stable polymorph in this dataset at 32.3 kJ/mol of atoms. The uncorrected formation energy comes out at -2.555 eV/f.u. The calculation puts the total DFT energy (no corrections) at -2.3300 eV/atom. The value obtained for the total moment is 0.0 μB/cell.

Lattice parameters (Å, degrees): 5.155 5.155 8.657 90.00 90.00 90.00
Space group I4/mmm (No. 139)
Inequivalent atoms, fractional coordinates:
Ca: 0.000 0.500 0.250 x4
Cd: 0.000 0.000 0.000 x2
Cl: 0.000 0.000 0.500 x2

***

The following is a GGA-PBE calculation of a relaxed structure of AcMgHg, from Alexandria via LeMat-Bulk.

The calculation puts the energy above the most stable polymorph in this dataset at 14.9 kJ/mol of atoms. The calculation puts the total DFT energy (no corrections) at -2.2384 eV/atom. The value obtained for the total moment is 0.0 μB/cell. The value obtained for the formation energy is -0.237 eV per atom.

Lattice parameters (Å, degrees): 3.834 3.834 12.090 90.00 90.00 90.00
Space group I4mm (No. 107)
Inequivalent atoms, fractional coordinates:
Ac: 0.000 0.000 0.000 x2
Mg: 0.000 0.000 0.301 x2
Hg: 0.000 0.000 0.687 x2

***

The following is a GGA-PBE calculation of a relaxed structure of ZrSbP2Cl, from Alexandria via LeMat-Bulk.

The calculation puts the energy above the most stable polymorph in this dataset at 0.0 kJ/mol of atoms. The uncorrected formation energy comes out at -0.096 eV/f.u. The calculation puts the total DFT energy (no corrections) at -5.0865 eV/atom. The value obtained for the total moment is 0.0 μB/cell.

Lattice parameters (Å, degrees): 5.150 5.150 4.821 90.00 90.00 90.00
Space group P4/mmm (No. 123)
Inequivalent atoms, fractional coordinates:
Zr: 0.000 0.000 0.000 x1
Sb: 0.500 0.500 0.500 x1
P: 0.000 0.500 0.000 x2
Cl: 0.000 0.000 0.500 x1

***

The following is a GGA-PBE calculation of a relaxed structure of BaYTa2, from Alexandria via LeMat-Bulk.

The calculation puts the energy above the most stable polymorph in this dataset at 54.7 kJ/mol of atoms. The calculation puts the total DFT energy (no corrections) at -7.0251 eV/atom. The value obtained for the total moment is 0.0 μB/cell. The value obtained for the formation energy is 0.998 eV per atom.

Lattice parameters (Å, degrees): 6.180 10.611 3.058 90.00 90.00 90.00
Space group Cmmm (No. 65)
Inequivalent atoms, fractional coordinates:
Ba: 0.000 0.000 0.000 x2
Y: 0.000 0.500 0.000 x2
Ta: 0.250 0.250 0.500 x4

***

The following is a GGA-PBE calculation of a relaxed structure of LiFe2Cl, from Alexandria via LeMat-Bulk.

The calculation puts the energy above the most stable polymorph in this dataset at 60.4 kJ/mol of atoms. The uncorrected formation energy comes out at 1.772 eV/f.u. The calculation puts the total DFT energy (no corrections) at -4.7284 eV/atom. The value obtained for the total moment is 23.5 μB/cell.

Lattice parameters (Å, degrees): 7.729 7.729 4.400 90.00 90.00 90.00
Space group I-42d (No. 122)
Inequivalent atoms, fractional coordinates:
Li: 0.000 0.000 0.000 x4
Fe: 0.171 0.250 0.625 x8
Cl: 0.000 0.000 0.500 x4

***

The following is a GGA-PBE calculation of a relaxed structure of ZrUTl2O6, from Alexandria via LeMat-Bulk.

The uncorrected formation energy comes out at -24.437 eV/f.u. The calculation puts the total DFT energy (no corrections) at -7.8755 eV/atom. The value obtained for the total moment is 0.0 μB/cell.

Lattice parameters (Å, degrees): 8.535 8.535 8.535 90.00 90.00 90.00
Space group Fm-3m (No. 225)
Inequivalent atoms, fractional coordinates:
Zr: 0.000 0.000 0.000 x4
U: 0.000 0.000 0.500 x4
Tl: 0.250 0.250 0.250 x8
O: 0.000 0.000 0.252 x24

***

The following is a GGA-PBE calculation of a relaxed structure of LiPrNpN3, from Alexandria via LeMat-Bulk.

The uncorrected formation energy comes out at -6.069 eV/f.u. The calculation puts the total DFT energy (no corrections) at -8.4465 eV/atom. The value obtained for the total moment is 3.8 μB/cell.

Lattice parameters (Å, degrees): 7.030 3.505 7.163 90.00 104.60 90.00
Space group P2_1/m (No. 11)
Inequivalent atoms, fractional coordinates:
Li: 0.085 0.250 0.074 x2
Pr: 0.277 0.750 0.814 x2
Np: 0.328 0.750 0.324 x2
N: 0.034 0.750 0.208 x2
N: 0.364 0.250 0.119 x2
N: 0.368 0.250 0.573 x2

***

The following is a GGA-PBE calculation of a relaxed structure of Zr2CuReSn, from Alexandria via LeMat-Bulk.

The calculation puts the total DFT energy (no corrections) at -5.9033 eV/atom. The value obtained for the total moment is 0.0 μB/cell. The value obtained for the formation energy is 1.625 eV per atom.

Lattice parameters (Å, degrees): 5.267 5.267 4.830 90.00 90.00 90.00
Space group P4/mmm (No. 123)
Inequivalent atoms, fractional coordinates:
Zr: 0.000 0.500 0.000 x2
Cu: 0.000 0.000 0.500 x1
Re: 0.500 0.500 0.500 x1
Sn: 0.500 0.500 0.000 x1

***

The following is a GGA-PBE calculation of a relaxed structure of BaPaTcO6, from Alexandria via LeMat-Bulk.

The uncorrected formation energy comes out at -22.801 eV/f.u. The calculation puts the total DFT energy (no corrections) at -8.2594 eV/atom. The value obtained for the total moment is 8.0 μB/cell.

Lattice parameters (Å, degrees): 7.235 7.391 10.004 90.00 90.00 90.00
Space group Imma (No. 74)
Inequivalent atoms, fractional coordinates:
Ba: 0.000 0.250 0.083 x4
Pa: 0.000 0.000 0.500 x4
Tc: 0.250 0.250 0.750 x4
O: 0.000 0.250 0.387 x4
O: 0.000 0.250 0.662 x4
O: 0.222 0.061 0.884 x16

***

The following is a GGA-PBE calculation of a relaxed structure of LaBe2Hg, from Alexandria via LeMat-Bulk.

The calculation puts the total DFT energy (no corrections) at -2.9438 eV/atom. The value obtained for the total moment is 0.0 μB/cell. The value obtained for the formation energy is 0.227 eV per atom.

Lattice parameters (Å, degrees): 3.025 3.157 7.558 90.00 90.00 90.00
Space group Pmm2 (No. 25)
Inequivalent atoms, fractional coordinates:
La: 0.000 0.000 0.000 x1
Be: 0.000 0.000 0.587 x1
Be: 0.500 0.500 0.703 x1
Hg: 0.500 0.500 0.350 x1

***

The following is a GGA-PBE calculation of a relaxed structure of Nb2MoW4, from Alexandria via LeMat-Bulk.

The calculation puts the energy above the most stable polymorph in this dataset at 12.2 kJ/mol of atoms. The calculation puts the total DFT energy (no corrections) at -11.1768 eV/atom. The value obtained for the total moment is 0.0 μB/cell. The value obtained for the formation energy is 0.649 eV per atom.

Lattice parameters (Å, degrees): 6.924 7.681 19.011 90.00 90.00 90.00
Space group Fddd (No. 70, origin choice 2)
Inequivalent atoms, fractional coordinates:
Nb: 0.125 0.125 0.306 x16
Mo: 0.125 0.125 0.625 x8
W: 0.011 0.253 0.435 x32